# YTmBiO2

A relaxed YTmBiO2 crystal (GGA-PBE, the Alexandria database).

Values from the calculation:
**Energy relative to the elements, uncorrected**: -2.68 eV per atom
**Total energy**: -7.630 eV/atom

Cell lengths 3.867, 3.867, 13.506 Å; angles 90.00, 90.00, 90.00 degrees
Space group I4mm (No. 107)
Asymmetric unit:
Y 0.000 0.000 0.000 (multiplicity 2)
Tm 0.000 0.000 0.662 (multiplicity 2)
Bi 0.000 0.000 0.331 (multiplicity 2)
O 0.000 0.500 0.084 (multiplicity 4)